w:
First-principles (GGA-PBE) data for La2LuGa after structural relaxation, as listed in Alexandria via LeMat-Bulk.

- Space-group type: P4/mmm, No. 123
- Fermi-level density of states: 6.48 states/eV per cell

Cell lengths 3.817, 3.817, 8.365 Å; angles 90.00, 90.00, 90.00 degrees
Sites, in units of the cell vectors:
Lu  0.500  0.500  0.500
Ga  0.500  0.500  0.000
La  0.000  0.000  0.787
La  0.000  0.000  0.213

=====

x:
First-principles (GGA-PBE) data for La2LuGa after structural relaxation, as listed in Alexandria via LeMat-Bulk.

- Space-group type: P4/mmm, No. 123
- Fermi-level density of states: 5.13 states/eV per cell

Cell lengths 4.956, 4.790, 4.790 Å; angles 90.00, 90.00, 90.00 degrees
Sites, in units of the cell vectors:
Lu  0.500  0.500  0.500
Ga  0.500  0.000  0.000
La  0.000  0.000  0.500
La  0.000  0.500  0.000

=====

It is w that is the least stable of them.

=====

w:
First-principles (GGA-PBE) data for LaLuGa after structural relaxation, as listed in Alexandria via LeMat-Bulk.

- Space-group type: F-43m, No. 216
- Fermi-level density of states: 4.85 states/eV per cell

Cell lengths 5.053, 5.053, 5.053 Å; angles 60.00, 60.00, 60.00 degrees
Sites, in units of the cell vectors:
Lu  0.000  0.000  0.000
Ga  0.250  0.250  0.250
La  0.500  0.500  0.500

=====

x:
First-principles (GGA-PBE) data for LaLuGa after structural relaxation, as listed in Alexandria via LeMat-Bulk.

- Space-group type: P3m1, No. 156
- Fermi-level density of states: 4.45 states/eV per cell

Cell lengths 3.964, 4.976, 4.976 Å; angles 120.00, 90.00, 90.00 degrees
Sites, in units of the cell vectors:
Lu  0.147  0.000  0.000
Ga  0.194  0.333  0.667
La  0.659  0.667  0.333

=====

It is w that is the least stable of them.

=====

w:
First-principles (GGA-PBE) data for LaMg2Ga6 after structural relaxation, as listed in Alexandria via LeMat-Bulk.

- Space-group type: P6/mmm, No. 191
- Fermi-level density of states: 3.49 states/eV per cell

Cell lengths 3.417, 7.914, 7.914 Å; angles 120.00, 90.00, 90.00 degrees
Sites, in units of the cell vectors:
La  0.000  0.000  0.000
Mg  0.000  0.333  0.667
Mg  0.000  0.667  0.333
Ga  0.500  0.341  0.341
Ga  0.500  0.659  0.659
Ga  0.500  0.000  0.659
Ga  0.500  0.659  0.000
Ga  0.500  0.341  0.000
Ga  0.500  0.000  0.341

=====

x:
First-principles (GGA-PBE) data for LaMg2Ga6 after structural relaxation, as listed in Alexandria via LeMat-Bulk.

- Space-group type: Immm, No. 71
- Fermi-level density of states: 2.53 states/eV per cell

Cell lengths 4.224, 7.255, 7.473 Å; angles 119.04, 106.42, 90.00 degrees
Sites, in units of the cell vectors:
La  0.000  0.500  0.000
Mg  0.883  0.883  0.767
Mg  0.117  0.117  0.233
Ga  0.693  0.884  0.386
Ga  0.307  0.116  0.614
Ga  0.307  0.498  0.614
Ga  0.500  0.176  0.000
Ga  0.500  0.824  0.000
Ga  0.693  0.502  0.386

=====

It is w that is the least stable of them.

=====

w:
First-principles (GGA-PBE) data for La3MgGa after structural relaxation, as listed in Alexandria via LeMat-Bulk.

- Space-group type: Cmcm, No. 63
- Fermi-level density of states: 10.55 states/eV per cell

Cell lengths 5.506, 5.498, 10.339 Å; angles 90.00, 74.56, 90.00 degrees
Sites, in units of the cell vectors:
La  0.763  0.250  0.121
La  0.390  0.250  0.868
La  0.576  0.250  0.496
La  0.258  0.750  0.132
La  0.885  0.750  0.879
La  0.072  0.750  0.504
Mg  0.479  0.750  0.690
Mg  0.169  0.250  0.310
Ga  0.669  0.750  0.311
Ga  0.980  0.250  0.689

=====

x:
First-principles (GGA-PBE) data for La3MgGa after structural relaxation, as listed in Alexandria via LeMat-Bulk.

- Space-group type: Pm-3m, No. 221
- Fermi-level density of states: 6.16 states/eV per cell

Cell lengths 5.963, 5.963, 5.963 Å; angles 90.00, 90.00, 90.00 degrees
Last column: magnetic moment on the atom in μB.
Sites, in units of the cell vectors:
Mg  0.500  0.500  0.500  -0.03
Ga  0.000  0.000  0.000  -0.01
La  0.000  0.500  0.000  -0.14
La  0.000  0.000  0.500  -0.12
La  0.500  0.000  0.000  -0.17

=====

It is x that is the least stable of them.

=====

w:
First-principles (GGA-PBE) data for LaMg4Ga2 after structural relaxation, as listed in Alexandria via LeMat-Bulk.

- Space-group type: Cmmm, No. 65
- Fermi-level density of states: 3.39 states/eV per cell

Cell lengths 4.460, 4.472, 8.402 Å; angles 105.43, 90.00, 90.00 degrees
Sites, in units of the cell vectors:
La  0.000  0.000  0.000
Mg  0.500  0.822  0.644
Mg  0.000  0.680  0.360
Mg  0.500  0.178  0.356
Mg  0.000  0.320  0.640
Ga  0.500  0.577  0.154
Ga  0.500  0.423  0.846

=====

x:
First-principles (GGA-PBE) data for LaMg4Ga2 after structural relaxation, as listed in Alexandria via LeMat-Bulk.

- Space-group type: P4_2/mnm, No. 136
- Fermi-level density of states: 9.68 states/eV per cell

Cell lengths 4.440, 8.519, 8.519 Å; angles 90.00, 90.00, 90.00 degrees
Sites, in units of the cell vectors:
La  0.500  0.000  0.000
La  0.000  0.500  0.500
Mg  0.000  0.094  0.337
Mg  0.000  0.906  0.663
Mg  0.500  0.163  0.594
Mg  0.500  0.837  0.406
Mg  0.500  0.406  0.837
Mg  0.500  0.594  0.163
Mg  0.000  0.337  0.094
Mg  0.000  0.663  0.906
Ga  0.000  0.204  0.796
Ga  0.000  0.796  0.204
Ga  0.500  0.704  0.704
Ga  0.500  0.296  0.296

=====

It is x that is the least stable of them.

=====

w:
First-principles (GGA-PBE) data for LaMgGa2Ni after structural relaxation, as listed in Alexandria via LeMat-Bulk.

- Space-group type: P4/mmm, No. 123
- Fermi-level density of states: 3.50 states/eV per cell

Cell lengths 4.662, 4.662, 4.757 Å; angles 90.00, 90.00, 90.00 degrees
Sites, in units of the cell vectors:
Ni  0.000  0.000  0.000
Mg  0.000  0.000  0.500
Ga  0.000  0.500  0.000
Ga  0.500  0.000  0.000
La  0.500  0.500  0.500

=====

x:
First-principles (GGA-PBE) data for LaMgGa2Ni after structural relaxation, as listed in Alexandria via LeMat-Bulk.

- Space-group type: Imm2, No. 44
- Fermi-level density of states: 2.88 states/eV per cell

Cell lengths 4.267, 4.301, 6.269 Å; angles 110.07, 109.90, 90.00 degrees
Sites, in units of the cell vectors:
La  0.444  0.444  0.887
Mg  0.197  0.697  0.394
Ga  0.703  0.203  0.406
Ga  0.042  0.042  0.085
Ni  0.826  0.826  0.652

=====

It is w that is the least stable of them.

=====

w:
First-principles (GGA-PBE) data for La2MgGaOs after structural relaxation, as listed in Alexandria via LeMat-Bulk.

- Space-group type: P4/mmm, No. 123
- Fermi-level density of states: 3.32 states/eV per cell

Cell lengths 5.555, 5.555, 4.934 Å; angles 90.00, 90.00, 90.00 degrees
Sites, in units of the cell vectors:
Mg  0.500  0.500  0.500
Os  0.000  0.000  0.000
Ga  0.000  0.000  0.500
La  0.000  0.500  0.000
La  0.500  0.000  0.000

=====

x:
First-principles (GGA-PBE) data for La2MgGaOs after structural relaxation, as listed in Alexandria via LeMat-Bulk.

- Space-group type: P4/mmm, No. 123
- Fermi-level density of states: 6.23 states/eV per cell

Cell lengths 5.448, 5.160, 5.448 Å; angles 90.00, 90.00, 90.00 degrees
Sites, in units of the cell vectors:
Mg  0.000  0.500  0.000
Os  0.000  0.000  0.000
Ga  0.500  0.500  0.500
La  0.000  0.000  0.500
La  0.500  0.000  0.000

=====

It is x that is the least stable of them.

=====

w:
First-principles (GGA-PBE) data for LaGa2Mo2 after structural relaxation, as listed in Alexandria via LeMat-Bulk.

- Space-group type: P4/mbm, No. 127
- Fermi-level density of states: 10.58 states/eV per cell

Cell lengths 7.509, 7.509, 3.327 Å; angles 90.00, 90.00, 90.00 degrees
Sites, in units of the cell vectors:
Mo  0.167  0.667  0.500
Mo  0.667  0.833  0.500
Mo  0.833  0.333  0.500
Mo  0.333  0.167  0.500
Ga  0.378  0.878  0.000
Ga  0.878  0.622  0.000
Ga  0.622  0.122  0.000
Ga  0.122  0.378  0.000
La  0.000  0.000  0.000
La  0.500  0.500  0.000

=====

x:
First-principles (GGA-PBE) data for LaGa2Mo2 after structural relaxation, as listed in Alexandria via LeMat-Bulk.

- Space-group type: I4/mmm, No. 139
- Fermi-level density of states: 4.44 states/eV per cell

Cell lengths 4.732, 4.732, 5.744 Å; angles 65.67, 65.67, 90.00 degrees
Sites, in units of the cell vectors:
Mo  0.377  0.377  0.246
Mo  0.623  0.623  0.754
Ga  0.750  0.250  0.500
Ga  0.250  0.750  0.500
La  0.000  0.000  0.000

=====

It is w that is the least stable of them.

=====

w:
First-principles (GGA-PBE) data for La4GaN2 after structural relaxation, as listed in Alexandria via LeMat-Bulk.

- Space-group type: I4/mmm, No. 139
- Fermi-level density of states: 6.49 states/eV per cell

Cell lengths 5.727, 5.727, 7.333 Å; angles 67.02, 67.02, 90.00 degrees
Sites, in units of the cell vectors:
N  0.446  0.446  0.108
N  0.554  0.554  0.892
Ga  0.000  0.000  0.000
La  0.262  0.262  0.475
La  0.738  0.738  0.525
La  0.000  0.500  0.000
La  0.500  0.000  0.000

=====

x:
First-principles (GGA-PBE) data for La4GaN2 after structural relaxation, as listed in Alexandria via LeMat-Bulk.

- Space-group type: Cmcm, No. 63
- Fermi-level density of states: 9.41 states/eV per cell

Cell lengths 3.839, 6.671, 13.474 Å; angles 90.00, 90.00, 106.72 degrees
Sites, in units of the cell vectors:
La  0.764  0.528  0.105
La  0.764  0.528  0.395
La  0.236  0.472  0.895
La  0.236  0.472  0.605
La  0.919  0.838  0.750
La  0.081  0.162  0.250
La  0.500  0.000  0.000
La  0.500  0.000  0.500
Ga  0.603  0.206  0.750
Ga  0.397  0.794  0.250
N  0.140  0.280  0.444
N  0.860  0.720  0.944
N  0.140  0.280  0.056
N  0.860  0.720  0.556

=====

It is w that is the least stable of them.

=====

w:
First-principles (GGA-PBE) data for La2Ga2N after structural relaxation, as listed in Alexandria via LeMat-Bulk.

- Space-group type: I4/mmm, No. 139
- Fermi-level density of states: 2.85 states/eV per cell

Cell lengths 6.113, 6.113, 5.418 Å; angles 55.66, 55.66, 90.00 degrees
Sites, in units of the cell vectors:
N  0.000  0.000  0.000
Ga  0.309  0.309  0.383
Ga  0.691  0.691  0.617
La  0.750  0.250  0.500
La  0.250  0.750  0.500

=====

x:
First-principles (GGA-PBE) data for La2Ga2N after structural relaxation, as listed in Alexandria via LeMat-Bulk.

- Space-group type: P4/mbm, No. 127
- Fermi-level density of states: 7.17 states/eV per cell

Cell lengths 6.876, 6.876, 4.779 Å; angles 90.00, 90.00, 90.00 degrees
Sites, in units of the cell vectors:
N  0.000  0.000  0.000
N  0.500  0.500  0.000
Ga  0.352  0.852  0.000
Ga  0.852  0.648  0.000
Ga  0.648  0.148  0.000
Ga  0.148  0.352  0.000
La  0.161  0.661  0.500
La  0.661  0.839  0.500
La  0.839  0.339  0.500
La  0.339  0.161  0.500

=====

It is w that is the least stable of them.

=====

w:
First-principles (GGA-PBE) data for La2GaNiN after structural relaxation, as listed in Alexandria via LeMat-Bulk.

- Space-group type: P2_1/m, No. 11
- Fermi-level density of states: 9.22 states/eV per cell

Cell lengths 3.886, 6.784, 8.568 Å; angles 109.16, 90.00, 90.00 degrees
Sites, in units of the cell vectors:
La  0.750  0.787  0.618
La  0.750  0.787  0.034
La  0.250  0.213  0.382
La  0.250  0.213  0.966
Ga  0.250  0.682  0.298
Ga  0.750  0.318  0.702
Ni  0.250  0.539  0.754
Ni  0.750  0.461  0.246
N  0.250  0.839  0.832
N  0.750  0.161  0.168

=====

x:
First-principles (GGA-PBE) data for La2GaNiN after structural relaxation, as listed in Alexandria via LeMat-Bulk.

- Space-group type: P4/mmm, No. 123
- Fermi-level density of states: 4.74 states/eV per cell

Cell lengths 5.264, 5.264, 3.712 Å; angles 90.00, 90.00, 90.00 degrees
Sites, in units of the cell vectors:
Ni  0.000  0.000  0.500
N  0.000  0.000  0.000
Ga  0.500  0.500  0.500
La  0.000  0.500  0.000
La  0.500  0.000  0.000

=====

It is x that is the least stable of them.

=====

w:
First-principles (GGA-PBE) data for LaGaS2N after structural relaxation, as listed in Alexandria via LeMat-Bulk.

- Space-group type: P4/mmm, No. 123
- Fermi-level density of states: 4.86 states/eV per cell

Cell lengths 5.681, 5.681, 4.386 Å; angles 90.00, 90.00, 90.00 degrees
Last column: magnetic moment on the atom in μB.
Sites, in units of the cell vectors:
S  0.000  0.500  0.000  0.44
S  0.500  0.000  0.000  0.44
N  0.000  0.000  0.500  0.48
Ga  0.500  0.500  0.500  0.02
La  0.000  0.000  0.000  0.01

=====

x:
First-principles (GGA-PBE) data for LaGaS2N after structural relaxation, as listed in Alexandria via LeMat-Bulk.

- Space-group type: P4/mmm, No. 123
- Fermi-level density of states: 1.31 states/eV per cell

Cell lengths 4.959, 4.959, 3.961 Å; angles 90.00, 90.00, 90.00 degrees
Last column: magnetic moment on the atom in μB.
Sites, in units of the cell vectors:
S  0.000  0.500  0.000  0.08
S  0.500  0.000  0.000  0.08
N  0.000  0.000  0.500  0.60
Ga  0.000  0.000  0.000  -0.03
La  0.500  0.500  0.500  -0.02

=====

It is w that is the least stable of them.